# NaAg3Ge | the Alexandria database | GGA-PBE | relaxed
data_NaAg3Ge
_chemical_formula_sum 'Na1 Ag3 Ge1'
_cell_length_a 4.980
_cell_length_b 4.980
_cell_length_c 4.980
_cell_angle_alpha 90.00
_cell_angle_beta 90.00
_cell_angle_gamma 90.00
_space_group_name_H-M_alt 'P 1'
_space_group_IT_number 1
loop_
_space_group_symop_operation_xyz
'x,y,z'
loop_
_atom_site_label
_atom_site_fract_x
_atom_site_fract_y
_atom_site_fract_z
Na1 0.500 0.500 0.500
Ge1 0.000 0.000 0.000
Ag1 0.000 0.500 0.000
Ag2 0.000 0.000 0.500
Ag3 0.500 0.000 0.000
# space-group type	Pm-3m
# energy of formation from the pure elements	0.60	eV per formula unit
# crystal system	cubic
# calculated volume	123.49	Å³/f.u.